{
  "formula": "PdCl3",
  "functional": "GGA-PBE",
  "state": "relaxed",
  "density_kg_m3": 3672,
  "e_form_raw_ev_per_atom": 0.002,
  "volume_a3_per_atom": 24.1,
  "lattice": [[3.779, 0.000, 0.000], [-1.889, 3.273, 0.000], [0.000, 0.000, 23.342]],
  "species": ["Pd", "Pd", "Pd", "Cl", "Cl", "Cl", "Cl", "Cl", "Cl", "Cl", "Cl", "Cl"],
  "frac_coords": [[0.000, 0.000, 0.000], [0.333, 0.667, 0.667], [0.667, 0.333, 0.333], [0.000, 0.000, 0.392], [0.000, 0.000, 0.500], [0.000, 0.000, 0.608], [0.333, 0.667, 0.059], [0.333, 0.667, 0.167], [0.333, 0.667, 0.274], [0.667, 0.333, 0.726], [0.667, 0.333, 0.833], [0.667, 0.333, 0.941]]
}